Entry 1:
# KRb2IF8 PBE-GGA relaxed
data_KRb2IF8
_space_group_name_H-M_alt 'I -4 m 2'
_space_group_IT_number 119
_space_group_name_Hall 'I -4 -2'
_cell_length_a 6.1933
_cell_length_b 6.1933
_cell_length_c 11.7983
_cell_angle_alpha 90.00
_cell_angle_beta 90.00
_cell_angle_gamma 90.00
loop_
_atom_site_label
_atom_site_type_symbol
_atom_site_fract_x
_atom_site_fract_y
_atom_site_fract_z
K1 K 0.0000 0.0000 0.0000
Rb1 Rb 0.0000 0.0000 0.5000
Rb2 Rb 0.0000 0.5000 0.7500
I1 I 0.0000 0.5000 0.2500
F1 F 0.1986 0.2977 0.1446
# energy relative to the elements, uncorrected: -2.20 eV/atom
# uncorrected energy: -91.990 eV/cell

=====

Entry 2:
# K2RbIF8 PBE-GGA relaxed
data_K2RbIF8
_space_group_name_H-M_alt 'I -4 m 2'
_space_group_IT_number 119
_space_group_name_Hall 'I -4 -2'
_cell_length_a 6.0097
_cell_length_b 6.0097
_cell_length_c 12.0572
_cell_angle_alpha 90.00
_cell_angle_beta 90.00
_cell_angle_gamma 90.00
loop_
_atom_site_label
_atom_site_type_symbol
_atom_site_fract_x
_atom_site_fract_y
_atom_site_fract_z
K1 K 0.0000 0.0000 0.0000
K2 K 0.0000 0.5000 0.2500
Rb1 Rb 0.0000 0.0000 0.5000
I1 I 0.0000 0.5000 0.7500
F1 F 0.2048 0.2912 0.8529
# energy relative to the elements, uncorrected: -2.21 eV/atom
# uncorrected energy: -92.356 eV/cell

=====

Entry 3:
# KRbIF6 PBE-GGA relaxed
data_KRbIF6
_space_group_name_H-M_alt 'P 1'
_space_group_IT_number 1
_cell_length_a 4.3511
_cell_length_b 6.5365
_cell_length_c 6.6016
_cell_angle_alpha 60.36
_cell_angle_beta 89.79
_cell_angle_gamma 89.79
loop_
_space_group_symop_operation_xyz
'x,y,z'
loop_
_atom_site_label
_atom_site_type_symbol
_atom_site_fract_x
_atom_site_fract_y
_atom_site_fract_z
K1 K 0.0000 0.0000 0.0000
Rb1 Rb 0.5958 0.6664 0.6688
I1 I 0.2949 0.3332 0.3340
F1 F 0.0898 0.0033 0.5676
F2 F 0.0901 0.5694 0.4289
F3 F 0.0906 0.4280 0.0050
F4 F 0.4873 0.2307 0.6691
F5 F 0.4884 0.6692 0.1009
F6 F 0.4892 0.0982 0.2318
# energy relative to the elements, uncorrected: -2.05 eV/atom
# uncorrected energy: -33.321 eV/cell